Entry 1:
VASP calculation (GGA-PBE) on an optimized crystal structure of Dy6Ga2Pt.

Values from the calculation:
For the energy of formation from the pure elements, the calculation gives -0.484 eV per atom. As for the crystal system: monoclinic.

Geometry as CIF:
```
data_Dy6Ga2Pt
_chemical_formula_sum 'Dy12 Ga4 Pt2'
_cell_length_a 6.0783
_cell_length_b 8.2915
_cell_length_c 11.1094
_cell_angle_alpha 90.00
_cell_angle_beta 119.93
_cell_angle_gamma 90.00
_space_group_name_H-M_alt 'P 1 21/c 1'
_space_group_IT_number 14
_space_group_name_Hall '-P 2ybc'
loop_
_atom_site_label
_atom_site_fract_x
_atom_site_fract_y
_atom_site_fract_z
Dy1 0.0656 0.1731 0.4408
Dy2 0.3303 0.6789 0.4406
Dy3 0.3880 0.0337 0.2684
Ga1 0.1805 0.1252 0.7521
Pt1 0.0000 0.0000 0.0000
```

=====

Entry 2:
VASP calculation (GGA-PBE) on an optimized crystal structure of Er5ThSb6.

Values from the calculation:
As for the crystal system: monoclinic. The value obtained for the uncorrected formation energy is -1070 meV per atom.

Geometry as CIF:
```
data_Er5ThSb6
_chemical_formula_sum 'Er10 Th2 Sb12'
_cell_length_a 7.5864
_cell_length_b 13.1367
_cell_length_c 7.5927
_cell_angle_alpha 90.00
_cell_angle_beta 109.50
_cell_angle_gamma 90.00
_space_group_name_H-M_alt 'C 1 2/m 1'
_space_group_IT_number 12
_space_group_name_Hall '-C 2y'
loop_
_atom_site_label
_atom_site_fract_x
_atom_site_fract_y
_atom_site_fract_z
Er1 0.0000 0.0000 0.0000
Er2 0.0000 0.1675 0.5000
Er3 0.0000 0.3360 0.0000
Th1 0.0000 0.5000 0.5000
Sb1 0.2442 0.0000 0.7514
Sb2 0.2454 0.1695 0.2453
```